(1)
Computed, not measured: a geometry-optimized La2TbPm4Th structure at the PBE-GGA level of DFT.

Calculated values
* energy: -4.99 eV per atom
* space group: No. 10
* E_form: 1.0 eV per formula unit

The structure in extended XYZ format:
```
8
Lattice="6.099 0.000 0.000 0.000 5.861 1.652 0.000 3.844 8.761" Properties=species:S:1:pos:R:3 pbc="T T T"
Pm 0.000 7.268 7.843
Pm 3.050 4.338 7.021
Pm 3.050 5.367 3.393
Pm 6.099 2.436 2.571
La 0.000 3.844 8.761
La 3.050 1.922 4.381
Th 3.050 6.774 9.587
Tb 0.000 4.852 5.207
```


(2)
Computed, not measured: a geometry-optimized La4RhSe structure at the PBE-GGA level of DFT.

Calculated values
* energy: -4.89 eV per atom
* space group: No. 216

The structure in extended XYZ format:
```
6
Lattice="4.835 -3.345 -2.025 0.840 -5.809 2.052 -0.933 -4.814 -3.824" Properties=species:S:1:pos:R:3 pbc="T T T"
La 1.778 -5.237 -1.424
La 2.198 -8.143 -0.397
La 1.311 -7.645 -3.337
La 4.197 -6.910 -2.437
Rh 3.556 -10.476 -2.848
Se 0.000 0.000 0.000
```


> Which value of energy does entry 2 give?

-4.89 eV per atom